VASP calculation (GGA-PBE) on a relaxed structure of AcLaMgRu.

The structure in CIF format:
```
data_AcLaMgRu
_chemical_formula_sum 'Ac4 La4 Mg4 Ru4'
_space_group_name_H-M_alt 'F -4 3 m'
_space_group_IT_number 216
_space_group_name_Hall 'F -4 2 3'
_cell_length_a 7.588
_cell_length_b 7.588
_cell_length_c 7.588
_cell_angle_alpha 90.00
_cell_angle_beta 90.00
_cell_angle_gamma 90.00
loop_
_atom_site_label
_atom_site_fract_x
_atom_site_fract_y
_atom_site_fract_z
Ac1 0.000 0.000 0.000
La1 0.000 0.000 0.500
Mg1 0.250 0.250 0.750
Ru1 0.250 0.250 0.250
```

## Properties
- calculated formation energy (eV/f.u.) = 0.1

VASP calculation (GGA-PBE) on a relaxed structure of AcLaMgSb.

The structure in CIF format:
```
data_AcLaMgSb
_chemical_formula_sum 'Ac4 La4 Mg4 Sb4'
_space_group_name_H-M_alt 'F -4 3 m'
_space_group_IT_number 216
_space_group_name_Hall 'F -4 2 3'
_cell_length_a 8.029
_cell_length_b 8.029
_cell_length_c 8.029
_cell_angle_alpha 90.00
_cell_angle_beta 90.00
_cell_angle_gamma 90.00
loop_
_atom_site_label
_atom_site_fract_x
_atom_site_fract_y
_atom_site_fract_z
Ac1 0.000 0.000 0.000
La1 0.000 0.000 0.500
Mg1 0.250 0.250 0.250
Sb1 0.250 0.250 0.750
```

## Properties
- raw total energy (eV per atom) = -4.155

We obtain calculated density values of 7.5, 6.6 Mg/m³ for the records listed above, in that order.
We obtain calculated volume values of 27.31, 32.34 A^3/atom for the records listed above, in that order.
We obtain D(E_F) values of 20.8, 17.2 states/eV/cell for the records listed above, in that order.